(1)
DFT (PBE) results for a relaxed MoPtSe2N crystal.

For the magnetization, the calculation gives 3.3 μB per formula unit. The value obtained for the distance to the lowest polymorph of the same formula is 0.355 eV per atom. The uncorrected formation energy comes out at 0.9127 eV per atom.

The space group is P4/mmm (No. 123) and the conventional cell measures 5.190, 5.190 and 3.666 Å, with angles of 90.00, 90.00 and 90.00 degrees. The asymmetric unit holds Mo at (0.000, 0.000, 0.000), Pt at (0.500, 0.500, 0.500), Se at (0.000, 0.500, 0.500) and N at (0.500, 0.500, 0.000).

=====

(2)
DFT (PBE) results for a relaxed MoPtSe2N crystal.

For the magnetization, the calculation gives 0.0 μB per formula unit. The value obtained for the distance to the lowest polymorph of the same formula is 0.000 eV per atom. The uncorrected formation energy comes out at 0.5573 eV per atom.

The space group is P4/mmm (No. 123) and the conventional cell measures 5.014, 5.014 and 3.742 Å, with angles of 90.00, 90.00 and 90.00 degrees. The asymmetric unit holds Mo at (0.000, 0.000, 0.000), Pt at (0.500, 0.500, 0.500), Se at (0.000, 0.500, 0.000) and N at (0.000, 0.000, 0.500).